Crystalline AcLa2PuP4 at its relaxed geometry. Source: the Alexandria database, functional GGA-PBE.

Summary:
The space group is P2/m. The calculation puts the formation energy at -1381 meV per atom. The calculated volume comes out at 27.28 Å³/atom.

a = 7.3686 Å, b = 4.2612 Å, c = 7.3703 Å
α = 90.00°, β = 109.45°, γ = 90.00°
With the nearest neighbours (Å) after each atom.
Positions (direct):
Ac  0.0000  0.0000  0.0000  6 P 3.05
La  0.5000  0.0000  0.5000  6 P 2.97
La  0.5000  0.5000  0.0000  6 P 3.08-3.09
Pu  0.0000  0.5000  0.5000  6 P 2.93-2.94
P  0.2406  0.0000  0.7338  2 Pu 2.94, 3 La 2.97-3.09, 1 Ac 3.05
P  0.2509  0.5000  0.2631  1 Pu 2.93, 3 La 2.97-3.08, 2 Ac 3.05
P  0.7491  0.5000  0.7369  1 Pu 2.93, 3 La 2.97-3.08, 2 Ac 3.05
P  0.7594  0.0000  0.2662  2 Pu 2.94, 3 La 2.97-3.09, 1 Ac 3.05